Entry 1:
The following is a DFT calculation (PBE) of an optimized crystal structure of Mg6AlB.

a = 4.634 Å, b = 6.454 Å, c = 10.377 Å
α = 90.00°, β = 90.00°, γ = 90.00°
Atoms (fractional coordinates):
1 Mg 0.000 0.000 0.000
2 Mg 0.000 0.000 0.499
3 Mg 0.000 0.232 0.763
4 Mg 0.000 0.268 0.263
5 Mg 0.000 0.500 0.500
6 Mg 0.000 0.500 0.999
7 Mg 0.000 0.732 0.263
8 Mg 0.000 0.768 0.763
9 Mg 0.500 0.246 0.072
10 Mg 0.500 0.254 0.572
11 Mg 0.500 0.746 0.572
12 Mg 0.500 0.754 0.072
13 Al 0.500 0.000 0.328
14 Al 0.500 0.500 0.828
15 B 0.500 0.000 0.869
16 B 0.500 0.500 0.369

Values from the calculation:
The total DFT energy (no corrections) is -0.079 Ha/atom. The value obtained for the energy relative to the elements is 0.3445 eV/atom.

Entry 2:
The following is a DFT calculation (PBE) of an optimized crystal structure of Li2Dy2Hg3.

a = 3.795 Å, b = 23.809 Å, c = 3.507 Å
α = 90.00°, β = 90.00°, γ = 90.00°
Atoms (fractional coordinates):
1 Li 0.000 0.213 0.000
2 Li 0.000 0.787 0.000
3 Li 0.500 0.287 0.000
4 Li 0.500 0.713 0.000
5 Dy 0.000 0.079 0.000
6 Dy 0.000 0.921 0.000
7 Dy 0.500 0.421 0.000
8 Dy 0.500 0.579 0.000
9 Hg 0.000 0.340 0.500
10 Hg 0.000 0.500 0.500
11 Hg 0.000 0.660 0.500
12 Hg 0.500 0.000 0.500
13 Hg 0.500 0.160 0.500
14 Hg 0.500 0.840 0.500

Values from the calculation:
The total DFT energy (no corrections) is -0.086 Ha/atom. The value obtained for the energy relative to the elements is -0.3540 eV/atom.

Entry 3:
The following is a DFT calculation (PBE) of an optimized crystal structure of K2CeTe4Pb.

a = 8.108 Å, b = 4.663 Å, c = 8.559 Å
α = 90.00°, β = 107.89°, γ = 90.00°
Atoms (fractional coordinates):
1 K 0.000 0.000 0.000
2 K 0.500 0.500 0.000
3 Ce 0.000 0.500 0.500
4 Te 0.223 0.000 0.708
5 Te 0.244 0.500 0.288
6 Te 0.756 0.500 0.712
7 Te 0.777 0.000 0.292
8 Pb 0.500 0.000 0.500

Values from the calculation:
The total DFT energy (no corrections) is -0.149 Ha/atom. For the energy relative to the elements, uncorrected, the calculation gives -1.016 eV per atom.

Entry 4:
The following is a DFT calculation (PBE) of an optimized crystal structure of Li2Mg6Sc.

a = 3.172 Å, b = 3.172 Å, c = 23.459 Å
α = 90.00°, β = 90.00°, γ = 120.00°
Atoms (fractional coordinates):
1 Li 0.000 0.000 0.169
2 Li 0.000 0.000 0.831
3 Mg 0.000 0.000 0.386
4 Mg 0.000 0.000 0.614
5 Mg 0.667 0.333 0.065
6 Mg 0.667 0.333 0.274
7 Mg 0.667 0.333 0.726
8 Mg 0.667 0.333 0.935
9 Sc 0.667 0.333 0.500

Values from the calculation:
The total DFT energy (no corrections) is -0.080 Ha/atom. The value obtained for the energy relative to the elements is 0.0149 eV/atom.

Entry 5:
The following is a DFT calculation (PBE) of an optimized crystal structure of Y6Al2Pb.

a = 8.767 Å, b = 8.767 Å, c = 8.767 Å
α = 112.89°, β = 111.90°, γ = 103.77°
Atoms (fractional coordinates):
1 Y 0.024 0.821 0.203
2 Y 0.241 0.537 0.296
3 Y 0.241 0.945 0.704
4 Y 0.278 0.314 0.592
5 Y 0.278 0.686 0.963
6 Y 0.382 0.179 0.203
7 Y 0.618 0.821 0.797
8 Y 0.722 0.314 0.037
9 Y 0.722 0.686 0.408
10 Y 0.759 0.055 0.296
11 Y 0.759 0.463 0.704
12 Y 0.976 0.179 0.797
13 Al 0.000 0.142 0.142
14 Al 0.000 0.858 0.858
15 Al 0.380 0.380 0.000
16 Al 0.620 0.620 0.000
17 Pb 0.000 0.500 0.500
18 Pb 0.500 0.000 0.500

Values from the calculation:
The total DFT energy (no corrections) is -0.217 Ha/atom. The value obtained for the energy relative to the elements is -0.3467 eV/atom.

Entry 6:
The following is a DFT calculation (PBE) of an optimized crystal structure of CaCdCu.

a = 12.967 Å, b = 4.061 Å, c = 5.412 Å
α = 90.00°, β = 102.50°, γ = 90.00°
Atoms (fractional coordinates):
1 Ca 0.124 0.000 0.308
2 Ca 0.376 0.500 0.692
3 Ca 0.624 0.500 0.308
4 Ca 0.876 0.000 0.692
5 Cd 0.082 0.500 0.773
6 Cd 0.418 0.000 0.227
7 Cd 0.582 0.000 0.773
8 Cd 0.918 0.500 0.227
9 Cu 0.226 0.000 0.872
10 Cu 0.274 0.500 0.128
11 Cu 0.726 0.500 0.872
12 Cu 0.774 0.000 0.128

Values from the calculation:
The total DFT energy (no corrections) is -0.094 Ha/atom. The value obtained for the energy relative to the elements is -0.2072 eV/atom.

Entry 7:
The following is a DFT calculation (PBE) of an optimized crystal structure of Ac7Pt2Pb2.

a = 7.595 Å, b = 7.595 Å, c = 7.689 Å
α = 90.00°, β = 90.00°, γ = 107.94°
Atoms (fractional coordinates):
1 Ac 0.000 0.000 0.000
2 Ac 0.000 0.500 0.255
3 Ac 0.000 0.500 0.745
4 Ac 0.500 0.000 0.255
5 Ac 0.500 0.000 0.745
6 Ac 0.500 0.500 0.235
7 Ac 0.500 0.500 0.765
8 Pt 0.283 0.717 0.000
9 Pt 0.717 0.283 0.000
10 Pb 0.175 0.175 0.500
11 Pb 0.825 0.825 0.500

Values from the calculation:
The total DFT energy (no corrections) is -0.181 Ha/atom. The value obtained for the energy relative to the elements is -0.5285 eV/atom.

What did the second record say?
The following is a DFT calculation (PBE) of an optimized crystal structure of Li2Dy2Hg3.

a = 3.795 Å, b = 23.809 Å, c = 3.507 Å
α = 90.00°, β = 90.00°, γ = 90.00°
Atoms (fractional coordinates):
1 Li 0.000 0.213 0.000
2 Li 0.000 0.787 0.000
3 Li 0.500 0.287 0.000
4 Li 0.500 0.713 0.000
5 Dy 0.000 0.079 0.000
6 Dy 0.000 0.921 0.000
7 Dy 0.500 0.421 0.000
8 Dy 0.500 0.579 0.000
9 Hg 0.000 0.340 0.500
10 Hg 0.000 0.500 0.500
11 Hg 0.000 0.660 0.500
12 Hg 0.500 0.000 0.500
13 Hg 0.500 0.160 0.500
14 Hg 0.500 0.840 0.500

Values from the calculation:
The total DFT energy (no corrections) is -0.086 Ha/atom. The value obtained for the energy relative to the elements is -0.3540 eV/atom.

Copy entry 6 word for word.
The following is a DFT calculation (PBE) of an optimized crystal structure of CaCdCu.

a = 12.967 Å, b = 4.061 Å, c = 5.412 Å
α = 90.00°, β = 102.50°, γ = 90.00°
Atoms (fractional coordinates):
1 Ca 0.124 0.000 0.308
2 Ca 0.376 0.500 0.692
3 Ca 0.624 0.500 0.308
4 Ca 0.876 0.000 0.692
5 Cd 0.082 0.500 0.773
6 Cd 0.418 0.000 0.227
7 Cd 0.582 0.000 0.773
8 Cd 0.918 0.500 0.227
9 Cu 0.226 0.000 0.872
10 Cu 0.274 0.500 0.128
11 Cu 0.726 0.500 0.872
12 Cu 0.774 0.000 0.128

Values from the calculation:
The total DFT energy (no corrections) is -0.094 Ha/atom. The value obtained for the energy relative to the elements is -0.2072 eV/atom.